Ga3RuBr, optimized geometry, DFT PBE; formation energy from raw total energies = -1.1 eV/f.u.
1.0
4.888 0.000 0.000
0.000 4.888 0.000
0.000 0.000 4.888
Ru Ga Br
1 3 1
Cartesian
0.000 0.000 0.000 Ru
0.000 2.444 0.000 Ga
0.000 0.000 2.444 Ga
2.444 0.000 0.000 Ga
2.444 2.444 2.444 Br

=====

CuAsPb, optimized geometry, DFT PBE; formation enthalpy at 0 K = 0.180 eV per atom
1.0
6.313 -0.073 0.000
4.624 4.299 0.000
-5.468 -2.113 2.344
As Cu Pb
1 1 1
Cartesian
10.424 4.028 0.000 As
4.026 1.556 0.000 Cu
7.424 2.869 0.000 Pb

=====

The following calculated volume values (in Å³ per cell) correspond, in order, to the records above: 116.8, 64.4.